Material: Tl3CrTe2O9
Method: DFT, PBE+U
State: relaxed

Summary:
total moment = 0.194 μB/atom
final energy = -5.2325 eV/atom
ρ = 8640 kg/m3

POSCAR file:
```
Tl3CrTe2O9
1.0
5.7762 0.0000 0.0000
-2.8881 5.0023 0.0000
0.0000 0.0000 7.0798
Tl Cr Te O
3 1 2 9
direct
0.0000 0.0000 0.0000
0.3333 0.6667 0.6650
0.6667 0.3333 0.3350
0.0000 0.0000 0.5000
0.3333 0.6667 0.1784
0.6667 0.3333 0.8216
0.0000 0.5000 0.0000
0.1699 0.3398 0.3321
0.1699 0.8301 0.3321
0.3398 0.1699 0.6679
0.5000 0.0000 0.0000
0.5000 0.5000 0.0000
0.6602 0.8301 0.3321
0.8301 0.1699 0.6679
0.8301 0.6602 0.6679
```